# PBE YBeAlPt, optimized geometry
data_YBeAlPt
_chemical_formula_sum 'Y4 Be4 Al4 Pt4'
_symmetry_space_group_name_H-M 'F -4 3 m'
_symmetry_Int_Tables_number 216
_symmetry_space_group_name_Hall 'F -4 2 3'
_cell_length_a 6.4991
_cell_length_b 6.4991
_cell_length_c 6.4991
_cell_angle_alpha 90.00
_cell_angle_beta 90.00
_cell_angle_gamma 90.00
loop_
_atom_site_label
_atom_site_type_symbol
_atom_site_fract_x
_atom_site_fract_y
_atom_site_fract_z
Y1 Y 0.0000 0.0000 0.0000
Be1 Be 0.0000 0.0000 0.5000
Al1 Al 0.2500 0.2500 0.2500
Pt1 Pt 0.2500 0.2500 0.7500
# energy above the lowest structure with this stoichiometry: 185 meV per atom
# total magnetization: 0.0 μB per cell


# PBE YBeAlPt, optimized geometry
data_YBeAlPt
_chemical_formula_sum 'Y4 Be4 Al4 Pt4'
_symmetry_space_group_name_H-M 'F -4 3 m'
_symmetry_Int_Tables_number 216
_symmetry_space_group_name_Hall 'F -4 2 3'
_cell_length_a 6.3737
_cell_length_b 6.3737
_cell_length_c 6.3737
_cell_angle_alpha 90.00
_cell_angle_beta 90.00
_cell_angle_gamma 90.00
loop_
_atom_site_label
_atom_site_type_symbol
_atom_site_fract_x
_atom_site_fract_y
_atom_site_fract_z
Y1 Y 0.0000 0.0000 0.0000
Be1 Be 0.2500 0.2500 0.2500
Al1 Al 0.2500 0.2500 0.7500
Pt1 Pt 0.0000 0.0000 0.5000
# energy above the lowest structure with this stoichiometry: 30 meV per atom
# total magnetization: 0.0 μB per cell


# PBE YBeAlPt, optimized geometry
data_YBeAlPt
_chemical_formula_sum 'Y4 Be4 Al4 Pt4'
_symmetry_space_group_name_H-M 'F -4 3 m'
_symmetry_Int_Tables_number 216
_symmetry_space_group_name_Hall 'F -4 2 3'
_cell_length_a 6.4767
_cell_length_b 6.4767
_cell_length_c 6.4767
_cell_angle_alpha 90.00
_cell_angle_beta 90.00
_cell_angle_gamma 90.00
loop_
_atom_site_label
_atom_site_type_symbol
_atom_site_fract_x
_atom_site_fract_y
_atom_site_fract_z
Y1 Y 0.0000 0.0000 0.0000
Be1 Be 0.2500 0.2500 0.2500
Al1 Al 0.0000 0.0000 0.5000
Pt1 Pt 0.2500 0.2500 0.7500
# energy above the lowest structure with this stoichiometry: 0 meV per atom
# total magnetization: 0.0 μB per cell


# PBE BeAlRe, optimized geometry
data_BeAlRe
_chemical_formula_sum 'Be4 Al4 Re4'
_symmetry_space_group_name_H-M 'F -4 3 m'
_symmetry_Int_Tables_number 216
_symmetry_space_group_name_Hall 'F -4 2 3'
_cell_length_a 5.6673
_cell_length_b 5.6673
_cell_length_c 5.6673
_cell_angle_alpha 90.00
_cell_angle_beta 90.00
_cell_angle_gamma 90.00
loop_
_atom_site_label
_atom_site_type_symbol
_atom_site_fract_x
_atom_site_fract_y
_atom_site_fract_z
Be1 Be 0.0000 0.0000 0.0000
Al1 Al 0.2500 0.2500 0.2500
Re1 Re 0.0000 0.0000 0.5000
# energy above the lowest structure with this stoichiometry: 77 meV per atom
# total magnetization: 3.5 μB per cell


# PBE BeAlRe2, optimized geometry
data_BeAlRe2
_chemical_formula_sum 'Be4 Al4 Re8'
_symmetry_space_group_name_H-M 'F -4 3 m'
_symmetry_Int_Tables_number 216
_symmetry_space_group_name_Hall 'F -4 2 3'
_cell_length_a 5.9718
_cell_length_b 5.9718
_cell_length_c 5.9718
_cell_angle_alpha 90.00
_cell_angle_beta 90.00
_cell_angle_gamma 90.00
loop_
_atom_site_label
_atom_site_type_symbol
_atom_site_fract_x
_atom_site_fract_y
_atom_site_fract_z
Be1 Be 0.0000 0.0000 0.0000
Al1 Al 0.2500 0.2500 0.7500
Re1 Re 0.0000 0.0000 0.5000
Re2 Re 0.2500 0.2500 0.2500
# DFT total energy: -130.88 eV/cell
# total magnetization: 0.0 μB per cell


# PBE BeAlRe, optimized geometry
data_BeAlRe
_chemical_formula_sum 'Be4 Al4 Re4'
_symmetry_space_group_name_H-M 'F -4 3 m'
_symmetry_Int_Tables_number 216
_symmetry_space_group_name_Hall 'F -4 2 3'
_cell_length_a 5.7334
_cell_length_b 5.7334
_cell_length_c 5.7334
_cell_angle_alpha 90.00
_cell_angle_beta 90.00
_cell_angle_gamma 90.00
loop_
_atom_site_label
_atom_site_type_symbol
_atom_site_fract_x
_atom_site_fract_y
_atom_site_fract_z
Be1 Be 0.0000 0.0000 0.0000
Al1 Al 0.0000 0.0000 0.5000
Re1 Re 0.2500 0.2500 0.7500
# energy above the lowest structure with this stoichiometry: 0 meV per atom
# total magnetization: 2.7 μB per cell


# PBE BeAlReTe, optimized geometry
data_BeAlReTe
_chemical_formula_sum 'Be4 Al4 Re4 Te4'
_symmetry_space_group_name_H-M 'F -4 3 m'
_symmetry_Int_Tables_number 216
_symmetry_space_group_name_Hall 'F -4 2 3'
_cell_length_a 6.3375
_cell_length_b 6.3375
_cell_length_c 6.3375
_cell_angle_alpha 90.00
_cell_angle_beta 90.00
_cell_angle_gamma 90.00
loop_
_atom_site_label
_atom_site_type_symbol
_atom_site_fract_x
_atom_site_fract_y
_atom_site_fract_z
Be1 Be 0.0000 0.0000 0.0000
Al1 Al 0.2500 0.2500 0.2500
Re1 Re 0.0000 0.0000 0.5000
Te1 Te 0.2500 0.2500 0.7500
# energy above the lowest structure with this stoichiometry: 0 meV per atom
# total magnetization: 0.0 μB per cell


# PBE BeAlReTe, optimized geometry
data_BeAlReTe
_chemical_formula_sum 'Be4 Al4 Re4 Te4'
_symmetry_space_group_name_H-M 'F -4 3 m'
_symmetry_Int_Tables_number 216
_symmetry_space_group_name_Hall 'F -4 2 3'
_cell_length_a 6.3444
_cell_length_b 6.3444
_cell_length_c 6.3444
_cell_angle_alpha 90.00
_cell_angle_beta 90.00
_cell_angle_gamma 90.00
loop_
_atom_site_label
_atom_site_type_symbol
_atom_site_fract_x
_atom_site_fract_y
_atom_site_fract_z
Be1 Be 0.0000 0.0000 0.0000
Al1 Al 0.0000 0.0000 0.5000
Re1 Re 0.2500 0.2500 0.2500
Te1 Te 0.2500 0.2500 0.7500
# energy above the lowest structure with this stoichiometry: 168 meV per atom
# total magnetization: 0.3 μB per cell


# PBE SmBeAl, optimized geometry
data_SmBeAl
_chemical_formula_sum 'Sm4 Be4 Al4'
_symmetry_space_group_name_H-M 'F -4 3 m'
_symmetry_Int_Tables_number 216
_symmetry_space_group_name_Hall 'F -4 2 3'
_cell_length_a 6.6652
_cell_length_b 6.6652
_cell_length_c 6.6652
_cell_angle_alpha 90.00
_cell_angle_beta 90.00
_cell_angle_gamma 90.00
loop_
_atom_site_label
_atom_site_type_symbol
_atom_site_fract_x
_atom_site_fract_y
_atom_site_fract_z
Sm1 Sm 0.0000 0.0000 0.0000
Be1 Be 0.2500 0.2500 0.2500
Al1 Al 0.2500 0.2500 0.7500
# DFT total energy: -40.73 eV/cell
# total magnetization: 0.0 μB per cell


# PBE BeAlTc2, optimized geometry
data_BeAlTc2
_chemical_formula_sum 'Be4 Al4 Tc8'
_symmetry_space_group_name_H-M 'F -4 3 m'
_symmetry_Int_Tables_number 216
_symmetry_space_group_name_Hall 'F -4 2 3'
_cell_length_a 5.9361
_cell_length_b 5.9361
_cell_length_c 5.9361
_cell_angle_alpha 90.00
_cell_angle_beta 90.00
_cell_angle_gamma 90.00
loop_
_atom_site_label
_atom_site_type_symbol
_atom_site_fract_x
_atom_site_fract_y
_atom_site_fract_z
Be1 Be 0.0000 0.0000 0.0000
Al1 Al 0.2500 0.2500 0.7500
Tc1 Tc 0.0000 0.0000 0.5000
Tc2 Tc 0.2500 0.2500 0.2500
# DFT total energy: -116.35 eV/cell
# total magnetization: 0.0 μB per cell


# PBE Be2AlTc2, optimized geometry
data_Be2AlTc2
_chemical_formula_sum 'Be4 Al2 Tc4'
_symmetry_space_group_name_H-M 'P 4/m b m'
_symmetry_Int_Tables_number 127
_symmetry_space_group_name_Hall '-P 4 2ab'
_cell_length_a 6.0052
_cell_length_b 6.0052
_cell_length_c 3.1555
_cell_angle_alpha 90.00
_cell_angle_beta 90.00
_cell_angle_gamma 90.00
loop_
_atom_site_label
_atom_site_type_symbol
_atom_site_fract_x
_atom_site_fract_y
_atom_site_fract_z
Be1 Be 0.1191 0.3809 0.0000
Al1 Al 0.0000 0.0000 0.0000
Tc1 Tc 0.1755 0.6755 0.5000
# DFT total energy: -68.36 eV/cell
# total magnetization: 0.1 μB per cell


# PBE BeAlTcW, optimized geometry
data_BeAlTcW
_chemical_formula_sum 'Be4 Al4 Tc4 W4'
_symmetry_space_group_name_H-M 'F -4 3 m'
_symmetry_Int_Tables_number 216
_symmetry_space_group_name_Hall 'F -4 2 3'
_cell_length_a 6.0127
_cell_length_b 6.0127
_cell_length_c 6.0127
_cell_angle_alpha 90.00
_cell_angle_beta 90.00
_cell_angle_gamma 90.00
loop_
_atom_site_label
_atom_site_type_symbol
_atom_site_fract_x
_atom_site_fract_y
_atom_site_fract_z
Be1 Be 0.0000 0.0000 0.0000
Al1 Al 0.2500 0.2500 0.2500
Tc1 Tc 0.0000 0.0000 0.5000
W1 W 0.2500 0.2500 0.7500
# energy above the lowest structure with this stoichiometry: 0 meV per atom
# total magnetization: 0.0 μB per cell